Na2TlNiO4 | PBE+U | relaxed

Unit cell a=3.175 b=5.699 c=5.823 alpha=109.84 beta=90.00 gamma=90.00
Sites, in units of the cell vectors:
O1 0.000 0.750 0.228
O2 0.500 0.199 0.196
O3 0.500 0.801 0.804
O4 0.000 0.250 0.772
Ni1 0.000 0.000 0.000
Tl1 0.500 0.500 0.000
Na1 0.500 0.000 0.500
Na2 0.000 0.500 0.500

## Properties
uncorrected energy: -4.438 eV/atom
volume: 99.1 Å³/f.u.
total moment: 1.21 μB/f.u.